(1)
An optimized crystal structure of KO2. Source: Alexandria via LeMat-Bulk, functional PBEsol. Values from VASP.

```
&SYSTEM
  ibrav = 0, nat = 12, ntyp = 2
/
ATOMIC_SPECIES
K 39.10 K.upf
O 16.00 O.upf
CELL_PARAMETERS angstrom
6.0949 0.0000 0.0000
0.0000 6.0949 0.0000
0.0000 0.0000 6.0949
ATOMIC_POSITIONS angstrom
K 0.0000 0.0000 0.0000
K 0.0000 3.0474 3.0474
K 3.0474 0.0000 3.0474
K 3.0474 3.0474 0.0000
O 0.3880 3.4354 5.7069
O 0.3880 5.7069 2.6595
O 2.6595 0.3880 5.7069
O 2.6595 2.6595 2.6595
O 3.4354 3.4354 3.4354
O 3.4354 5.7069 0.3880
O 5.7069 0.3880 3.4354
O 5.7069 2.6595 0.3880
```

Computed properties:
As for the uncorrected formation energy: -0.7854 eV/atom.

(2)
An optimized crystal structure of KO2. Source: Alexandria via LeMat-Bulk, functional PBEsol. Values from VASP.

```
&SYSTEM
  ibrav = 0, nat = 6, ntyp = 2
/
ATOMIC_SPECIES
K 39.10 K.upf
O 16.00 O.upf
CELL_PARAMETERS angstrom
4.7345 -1.9999 0.0000
4.7345 1.9999 0.0000
-4.5319 0.0000 5.8956
ATOMIC_POSITIONS angstrom
K 2.3672 0.9999 0.0000
K 0.1013 -0.9999 2.9478
O 2.2190 1.4403 2.6677
O 4.9840 1.4403 0.2801
O -0.0469 -1.4403 5.6155
O 2.7180 -1.4403 3.2280
```

Computed properties:
As for the uncorrected formation energy: -0.7738 eV/atom.

(3)
An optimized crystal structure of KO. Source: Alexandria via LeMat-Bulk, functional PBEsol. Values from VASP.

```
&SYSTEM
  ibrav = 0, nat = 8, ntyp = 2
/
ATOMIC_SPECIES
K 39.10 K.upf
O 16.00 O.upf
CELL_PARAMETERS angstrom
3.3355 -3.4638 0.0000
3.3355 3.4638 0.0000
0.0000 0.0000 6.4271
ATOMIC_POSITIONS angstrom
K 1.6677 1.1076 1.6068
K 1.6677 -1.1076 4.8203
K 5.0032 1.1076 1.6068
K 5.0032 -1.1076 4.8203
O 3.3355 2.8583 2.7704
O 3.3355 0.6056 5.9840
O 3.3355 -0.6056 0.4431
O 3.3355 -2.8583 3.6567
```

Computed properties:
As for the uncorrected formation energy: -1.0720 eV/atom.

(4)
An optimized crystal structure of K2O. Source: Alexandria via LeMat-Bulk, functional PBEsol. Values from VASP.

```
&SYSTEM
  ibrav = 0, nat = 6, ntyp = 2
/
ATOMIC_SPECIES
K 39.10 K.upf
O 16.00 O.upf
CELL_PARAMETERS angstrom
3.6505 -2.1115 0.0000
3.6505 2.1115 0.0000
-2.6522 0.0000 9.9055
ATOMIC_POSITIONS angstrom
K -0.0013 0.0000 3.0907
K -0.2190 0.0000 8.9152
K 4.8678 0.0000 0.9903
K 4.6501 0.0000 6.8148
O 2.4335 0.0000 1.9819
O 2.2153 0.0000 7.9235
```

Computed properties:
As for the uncorrected formation energy: -0.9983 eV/atom.